Below is Ho3Ag2Os after structural relaxation, with properties calculated at the GGA-PBE level.

The space group is P2/m (No. 10) and the conventional cell measures 4.9745, 7.2486 and 7.8066 Å, with angles of 90.00, 108.42 and 90.00 degrees. The inequivalent atoms are Ho at (0.0000, 0.2329, 0.0000), Ho at (0.3270, 0.2282, 0.6545), Ag at (0.1652, 0.5000, 0.3302), Ag at (0.5000, 0.0000, 0.0000), Ag at (0.5000, 0.5000, 0.0000) and Os at (0.1644, 0.0000, 0.3289).

For the density of states at the Fermi level, the calculation gives 3.588 states/eV/f.u. As for the formation energy: -0.325 eV per atom. As for the total magnetization: 0.0 μB/cell.